Cu2Ni4Pt: relaxed, PBE.

POSCAR file:
```
Cu2Ni4Pt
1.0
6.308 0.000 0.000
0.000 7.776 0.000
0.000 0.000 3.679
Cu Ni Pt
4 8 2
Direct
0.200 0.000 0.000
0.300 0.500 0.000
0.700 0.500 0.000
0.800 0.000 0.000
0.000 0.274 0.000
0.000 0.726 0.000
0.250 0.250 0.500
0.250 0.750 0.500
0.500 0.226 0.000
0.500 0.774 0.000
0.750 0.250 0.500
0.750 0.750 0.500
0.000 0.500 0.500
0.500 0.000 0.500
```

For the magnetization, the calculation gives 0.0 μB/cell. As for the space group: Cmmm, No. 65. The energy of formation from the pure elements comes out at 1.2 eV per formula unit. As for the density of states at the Fermi level: 1.391 states/eV per atom. The uncorrected energy is -5.17 eV/atom.



Ag2GeBi: relaxed, PBE.

POSCAR file:
```
Ag2GeBi
1.0
3.430 0.000 0.000
0.000 3.430 0.000
0.000 0.000 7.415
Ag Ge Bi
2 1 1
Direct
0.000 0.000 0.210
0.000 0.000 0.790
0.500 0.500 0.000
0.500 0.500 0.500
```

For the magnetization, the calculation gives 0.0 μB/cell. As for the space group: P4/mmm, No. 123. The energy of formation from the pure elements comes out at 0.6 eV per formula unit. As for the density of states at the Fermi level: 0.227 states/eV per atom. The uncorrected energy is -3.39 eV/atom.



HfFeSe2: relaxed, PBE.

POSCAR file:
```
HfFeSe2
1.0
3.597 0.000 0.000
-1.799 3.115 0.000
0.000 0.000 24.362
Hf Fe Se
3 3 6
Direct
0.000 0.000 0.000
0.333 0.667 0.667
0.667 0.333 0.333
0.000 0.000 0.500
0.333 0.667 0.167
0.667 0.333 0.833
0.000 0.000 0.403
0.000 0.000 0.597
0.333 0.667 0.069
0.333 0.667 0.264
0.667 0.333 0.736
0.667 0.333 0.931
```

For the magnetization, the calculation gives 9.6 μB/cell. As for the space group: R-3m, No. 166. As for the density of states at the Fermi level: 1.546 states/eV per atom. The uncorrected formation energy comes out at -0.391 eV per atom. The uncorrected energy is -6.74 eV/atom.



Si2SnRhN: relaxed, PBE.

POSCAR file:
```
Si2SnRhN
1.0
4.252 0.000 0.000
2.041 4.229 0.000
0.751 -0.344 4.631
Si Sn Rh N
2 1 1 1
Direct
0.000 0.000 0.000
0.262 0.423 0.880
0.676 0.539 0.420
0.412 0.132 0.276
0.026 0.264 0.718
```

For the magnetization, the calculation gives 0.0 μB/cell. As for the space group: P1, No. 1. As for the density of states at the Fermi level: 0.105 states/eV per atom. The uncorrected formation energy comes out at -0.156 eV per atom. The uncorrected energy is -6.26 eV/atom.



Ta3Os: relaxed, PBE.

POSCAR file:
```
Ta3Os
1.0
5.406 0.000 0.000
0.000 9.564 0.000
0.000 0.000 5.433
Ta Os
12 4
Direct
0.005 0.250 0.133
0.229 0.021 0.634
0.229 0.479 0.634
0.271 0.521 0.134
0.271 0.979 0.134
0.495 0.750 0.633
0.505 0.250 0.367
0.729 0.021 0.866
0.729 0.479 0.866
0.771 0.521 0.366
0.771 0.979 0.366
0.995 0.750 0.867
0.059 0.750 0.366
0.441 0.250 0.866
0.559 0.750 0.134
0.941 0.250 0.634
```

For the magnetization, the calculation gives 0.0 μB/cell. As for the space group: Pnma, No. 62. The energy of formation from the pure elements comes out at -0.1 eV per formula unit. As for the density of states at the Fermi level: 0.870 states/eV per atom. The uncorrected energy is -11.72 eV/atom.



BaCo2Re: relaxed, PBE.

POSCAR file:
```
BaCo2Re
1.0
6.648 0.000 0.000
0.000 6.648 0.000
0.000 0.000 6.648
Ba Co Re
4 8 4
Direct
0.000 0.000 0.000
0.000 0.500 0.500
0.500 0.000 0.500
0.500 0.500 0.000
0.250 0.250 0.250
0.250 0.250 0.750
0.250 0.750 0.250
0.250 0.750 0.750
0.750 0.250 0.250
0.750 0.250 0.750
0.750 0.750 0.250
0.750 0.750 0.750
0.000 0.000 0.500
0.000 0.500 0.000
0.500 0.000 0.000
0.500 0.500 0.500
```

For the magnetization, the calculation gives 20.0 μB/cell. As for the space group: Fm-3m, No. 225. The energy of formation from the pure elements comes out at 5.1 eV per formula unit. As for the density of states at the Fermi level: 1.347 states/eV per atom. The uncorrected energy is -5.86 eV/atom.



K2CrPAu: relaxed, PBE.

POSCAR file:
```
K2CrPAu
1.0
5.978 0.000 0.000
0.000 5.978 0.000
0.000 0.000 5.176
K Cr P Au
2 1 1 1
Direct
0.000 0.500 0.000
0.500 0.000 0.000
0.000 0.000 0.500
0.500 0.500 0.500
0.000 0.000 0.000
```

For the magnetization, the calculation gives 3.9 μB/cell. As for the space group: P4/mmm, No. 123. The energy of formation from the pure elements comes out at 3.2 eV per formula unit. As for the density of states at the Fermi level: 0.673 states/eV per atom. The uncorrected energy is -3.46 eV/atom.



SmEr5Cd3: relaxed, PBE.

POSCAR file:
```
SmEr5Cd3
1.0
9.130 0.000 0.000
-4.565 7.907 0.000
0.000 0.000 6.918
Sm Er Cd
2 10 6
Direct
0.000 0.000 0.000
0.000 0.000 0.500
0.000 0.335 0.250
0.000 0.665 0.750
0.333 0.667 0.000
0.333 0.667 0.500
0.335 0.000 0.250
0.335 0.335 0.750
0.665 0.000 0.750
0.665 0.665 0.250
0.667 0.333 0.000
0.667 0.333 0.500
0.000 0.335 0.750
0.000 0.665 0.250
0.335 0.000 0.750
0.335 0.335 0.250
0.665 0.000 0.250
0.665 0.665 0.750
```

For the magnetization, the calculation gives 0.0 μB/cell. As for the space group: P6_3/mcm, No. 193. The energy of formation from the pure elements comes out at -1.6 eV per formula unit. As for the density of states at the Fermi level: 0.605 states/eV per atom. The uncorrected energy is -3.54 eV/atom.



ThZn9Au3: relaxed, PBE.

POSCAR file:
```
ThZn9Au3
1.0
2.712 -6.406 0.000
2.712 6.406 0.000
-2.663 0.000 6.468
Th Zn Au
1 9 3
Direct
0.000 0.000 0.000
0.012 0.368 0.361
0.292 0.505 0.782
0.368 0.012 0.361
0.495 0.708 0.218
0.500 0.500 0.500
0.505 0.292 0.782
0.632 0.988 0.639
0.708 0.495 0.218
0.988 0.632 0.639
0.000 0.000 0.500
0.000 0.500 0.000
0.500 0.000 0.000
```

For the magnetization, the calculation gives 0.0 μB/cell. As for the space group: C2/m, No. 12. The energy of formation from the pure elements comes out at -2.8 eV per formula unit. As for the density of states at the Fermi level: 0.453 states/eV per atom. The uncorrected energy is -2.42 eV/atom.



LaZr2Te: relaxed, PBE.

POSCAR file:
```
LaZr2Te
1.0
3.607 0.000 0.000
-1.803 3.123 0.000
0.000 0.000 28.608
La Zr Te
3 6 3
Direct
0.000 0.000 0.000
0.333 0.667 0.667
0.667 0.333 0.333
0.000 0.000 0.240
0.000 0.000 0.760
0.333 0.667 0.426
0.333 0.667 0.907
0.667 0.333 0.093
0.667 0.333 0.574
0.000 0.000 0.500
0.333 0.667 0.167
0.667 0.333 0.833
```

For the magnetization, the calculation gives 0.0 μB/cell. As for the space group: R-3m, No. 166. As for the density of states at the Fermi level: 1.360 states/eV per atom. The uncorrected formation energy comes out at -0.183 eV per atom. The uncorrected energy is -6.47 eV/atom.



Tm3Mg2Cd: relaxed, PBE.

POSCAR file:
```
Tm3Mg2Cd
1.0
5.265 0.000 0.000
0.000 15.873 0.000
0.000 0.000 3.728
Tm Mg Cd
6 4 2
Direct
0.000 0.000 0.000
0.000 0.336 0.000
0.000 0.664 0.000
0.500 0.164 0.000
0.500 0.500 0.000
0.500 0.836 0.000
0.000 0.171 0.500
0.000 0.829 0.500
0.500 0.329 0.500
0.500 0.671 0.500
0.000 0.500 0.500
0.500 0.000 0.500
```

For the magnetization, the calculation gives 0.0 μB/cell. As for the space group: Cmmm, No. 65. The energy of formation from the pure elements comes out at -0.9 eV per formula unit. As for the density of states at the Fermi level: 1.126 states/eV per atom. The uncorrected energy is -3.07 eV/atom.



AgSbRh: relaxed, PBE.

POSCAR file:
```
AgSbRh
1.0
6.260 0.000 0.000
0.000 6.260 0.000
0.000 0.000 6.260
Ag Sb Rh
4 4 4
Direct
0.000 0.000 0.000
0.000 0.500 0.500
0.500 0.000 0.500
0.500 0.500 0.000
0.000 0.000 0.500
0.000 0.500 0.000
0.500 0.000 0.000
0.500 0.500 0.500
0.250 0.250 0.250
0.250 0.750 0.750
0.750 0.250 0.750
0.750 0.750 0.250
```

For the magnetization, the calculation gives 0.0 μB/cell. As for the space group: F-43m, No. 216. As for the density of states at the Fermi level: 0.635 states/eV per atom. The uncorrected formation energy comes out at -0.095 eV per atom. The uncorrected energy is -4.87 eV/atom.



Hf5Cr3H12: relaxed, PBE.

POSCAR file:
```
Hf5Cr3H12
1.0
-5.699 5.699 5.699
5.699 -5.699 5.699
5.699 5.699 -5.699
Hf Cr H
20 12 48
Direct
0.000 0.000 0.000
0.000 0.000 0.500
0.000 0.500 0.000
0.000 0.500 0.500
0.125 0.750 0.875
0.125 0.875 0.250
0.250 0.125 0.875
0.250 0.625 0.375
0.375 0.250 0.625
0.375 0.625 0.750
0.500 0.000 0.000
0.500 0.000 0.500
0.500 0.500 0.000
0.500 0.500 0.500
0.625 0.375 0.250
0.625 0.750 0.375
0.750 0.375 0.625
0.750 0.875 0.125
0.875 0.125 0.750
0.875 0.250 0.125
0.125 0.250 0.375
0.125 0.375 0.750
0.250 0.375 0.125
0.250 0.875 0.625
0.375 0.125 0.250
0.375 0.750 0.125
0.625 0.250 0.875
0.625 0.875 0.750
0.750 0.125 0.375
0.750 0.625 0.875
0.875 0.625 0.250
0.875 0.750 0.625
0.051 0.725 0.652
0.051 0.826 0.399
0.073 0.225 0.174
0.073 0.348 0.899
0.101 0.674 0.449
0.101 0.927 0.652
0.152 0.225 0.551
0.152 0.427 0.601
0.174 0.073 0.225
0.174 0.601 0.949
0.225 0.174 0.073
0.225 0.551 0.152
0.275 0.348 0.949
0.275 0.427 0.326
0.326 0.275 0.427
0.326 0.551 0.899
0.348 0.899 0.073
0.348 0.949 0.275
0.399 0.051 0.826
0.399 0.848 0.573
0.427 0.326 0.275
0.427 0.601 0.152
0.449 0.101 0.674
0.449 0.848 0.775
0.551 0.152 0.225
0.551 0.899 0.326
0.573 0.399 0.848
0.573 0.674 0.725
0.601 0.152 0.427
0.601 0.949 0.174
0.652 0.051 0.725
0.652 0.101 0.927
0.674 0.449 0.101
0.674 0.725 0.573
0.725 0.573 0.674
0.725 0.652 0.051
0.775 0.449 0.848
0.775 0.826 0.927
0.826 0.399 0.051
0.826 0.927 0.775
0.848 0.573 0.399
0.848 0.775 0.449
0.899 0.073 0.348
0.899 0.326 0.551
0.927 0.652 0.101
0.927 0.775 0.826
0.949 0.174 0.601
0.949 0.275 0.348
```

For the magnetization, the calculation gives 25.4 μB/cell. As for the space group: Ia-3d, No. 230. As for the density of states at the Fermi level: 0.351 states/eV per atom. The uncorrected energy is -6.04 eV/atom.



Sc3C: relaxed, PBE.

POSCAR file:
```
Sc3C
1.0
8.767 0.000 0.000
-4.384 7.593 0.000
0.000 0.000 3.153
Sc C
9 3
Direct
0.000 0.500 0.000
0.167 0.333 0.333
0.167 0.833 0.333
0.333 0.167 0.667
0.500 0.000 0.000
0.500 0.500 0.000
0.667 0.833 0.333
0.833 0.167 0.667
0.833 0.667 0.667
0.000 0.000 0.000
0.333 0.667 0.667
0.667 0.333 0.333
```

For the magnetization, the calculation gives 0.0 μB/cell. As for the space group: R-3m, No. 166. The energy of formation from the pure elements comes out at 3.4 eV per formula unit. As for the density of states at the Fermi level: 1.064 states/eV per atom. The uncorrected energy is -6.21 eV/atom.



ScRuPt2O: relaxed, PBE.

POSCAR file:
```
ScRuPt2O
1.0
4.431 0.000 0.000
0.000 4.431 0.000
0.000 0.000 3.927
Sc Ru Pt O
1 1 2 1
Direct
0.000 0.000 0.000
0.500 0.500 0.000
0.000 0.500 0.500
0.500 0.000 0.500
0.500 0.500 0.500
```

For the magnetization, the calculation gives 0.9 μB/cell. As for the space group: P4/mmm, No. 123. As for the density of states at the Fermi level: 0.558 states/eV per atom. The uncorrected formation energy comes out at -0.189 eV per atom. The uncorrected energy is -6.72 eV/atom.



RbCePO6: relaxed, PBE.

POSCAR file:
```
RbCePO6
1.0
5.447 0.000 0.000
-2.724 4.717 0.000
0.000 0.000 6.137
Rb Ce P O
1 1 1 6
Direct
0.000 0.000 0.000
0.333 0.667 0.500
0.667 0.333 0.500
0.414 0.075 0.660
0.414 0.339 0.340
0.661 0.075 0.340
0.661 0.586 0.660
0.925 0.339 0.660
0.925 0.586 0.340
```

For the magnetization, the calculation gives 2.0 μB/cell. As for the space group: P312, No. 149. As for the density of states at the Fermi level: 0.506 states/eV per atom. The uncorrected formation energy comes out at -1.934 eV per atom. The uncorrected energy is -6.61 eV/atom.



CaDy6: relaxed, PBE.

POSCAR file:
```
CaDy6
1.0
8.283 0.000 0.000
0.000 8.283 0.000
0.000 0.000 8.283
Ca Dy
2 12
Direct
0.000 0.000 0.000
0.500 0.500 0.500
0.000 0.250 0.500
0.000 0.500 0.250
0.000 0.500 0.750
0.000 0.750 0.500
0.250 0.000 0.500
0.250 0.500 0.000
0.500 0.000 0.250
0.500 0.000 0.750
0.500 0.250 0.000
0.500 0.750 0.000
0.750 0.000 0.500
0.750 0.500 0.000
```

For the magnetization, the calculation gives 0.0 μB/cell. As for the space group: Im-3m, No. 229. The energy of formation from the pure elements comes out at 9.8 eV per formula unit. As for the density of states at the Fermi level: 1.494 states/eV per atom. The uncorrected energy is -2.83 eV/atom.



Ac5Hg2OsO: relaxed, PBE.

POSCAR file:
```
Ac5Hg2OsO
1.0
2.160 -9.731 0.000
2.160 9.731 0.000
0.000 0.000 14.492
Ac Hg Os O
10 4 2 2
Direct
0.003 0.997 0.500
0.149 0.851 0.725
0.190 0.810 0.102
0.212 0.788 0.381
0.450 0.550 0.729
0.550 0.450 0.229
0.788 0.212 0.881
0.810 0.190 0.602
0.851 0.149 0.225
0.997 0.003 0.000
0.368 0.632 0.043
0.390 0.610 0.404
0.610 0.390 0.904
0.632 0.368 0.543
0.295 0.705 0.742
0.705 0.295 0.242
0.055 0.945 0.145
0.945 0.055 0.645
```

For the magnetization, the calculation gives 0.0 μB/cell. As for the space group: Cmc2_1, No. 36. As for the density of states at the Fermi level: 0.708 states/eV per atom. The uncorrected formation energy comes out at -0.834 eV per atom. The uncorrected energy is -4.98 eV/atom.



Sc3AlPd12: relaxed, PBE.

POSCAR file:
```
Sc3AlPd12
1.0
3.999 0.000 0.000
0.000 3.999 0.000
0.000 0.000 15.826
Sc Al Pd
3 1 12
Direct
0.000 0.000 0.000
0.000 0.000 0.255
0.000 0.000 0.745
0.000 0.000 0.500
0.000 0.500 0.127
0.000 0.500 0.382
0.000 0.500 0.618
0.000 0.500 0.873
0.500 0.000 0.127
0.500 0.000 0.382
0.500 0.000 0.618
0.500 0.000 0.873
0.500 0.500 0.000
0.500 0.500 0.254
0.500 0.500 0.500
0.500 0.500 0.746
```

For the magnetization, the calculation gives 0.0 μB/cell. As for the space group: P4/mmm, No. 123. The energy of formation from the pure elements comes out at -12.5 eV per formula unit. As for the density of states at the Fermi level: 0.875 states/eV per atom. The uncorrected energy is -6.10 eV/atom.